A relaxed MnCrBrO2 crystal. Source: Alexandria, functional PBE+U.

The magnetization comes out at 16.0 Bohr magnetons per cell. The total energy comes out at -65.60 eV per cell. The density of states at the Fermi level comes out at 0.2 states/eV/f.u.

abc: 5.7723 3.4587 10.5564
angles: 90.00 90.95 90.00
Last column: nearest neighbours and their distance in Å.
Fractional coordinates of all 10 atoms:
Mn 0.1337 0.2500 0.1108  5 O 2.14-2.27
Mn 0.8663 0.7500 0.8892  5 O 2.14-2.27
Cr 0.3589 0.2500 0.7959  2 O 1.80-1.84
Cr 0.6411 0.7500 0.2041  2 O 1.80-1.84
Br 0.2412 0.7500 0.6283  2 Cr 2.56
Br 0.7588 0.2500 0.3717  2 Cr 2.56
O 0.1185 0.2500 0.9078  1 Cr 1.84
O 0.3405 0.7500 0.1569  1 Cr 1.80
O 0.6595 0.2500 0.8431  1 Cr 1.80
O 0.8815 0.7500 0.0922  1 Cr 1.84